No. 1
Density functional theory data (PBEsol) for a relaxed CsZn3O crystal.

Unit cell a=7.0555 b=7.0555 c=7.0555 alpha=90.00 beta=90.00 gamma=90.00
Atoms (fractional coordinates):
Zn  0.0000  0.5000  0.0000
Zn  0.0000  0.0000  0.5000
Zn  0.5000  0.0000  0.0000
Cs  0.0000  0.0000  0.0000
O  0.5000  0.5000  0.5000

## Properties
Formation energy without anion corrections   1.313 eV/atom
Total energy   -0.8750 eV/atom

=====

No. 2
Density functional theory data (PBEsol) for a relaxed Cs3ZnO crystal.

Unit cell a=5.8283 b=5.8283 c=5.8283 alpha=90.00 beta=90.00 gamma=90.00
Atoms (fractional coordinates):
Cs  0.0000  0.0000  0.5000
Cs  0.5000  0.0000  0.0000
O  0.0000  0.0000  0.0000
Cs  0.0000  0.5000  0.0000
Zn  0.5000  0.5000  0.5000

## Properties
Formation energy without anion corrections   -0.383 eV/atom
Total energy   -2.3144 eV/atom

=====

No. 3
Density functional theory data (PBEsol) for a relaxed CsP3Os crystal.

Unit cell a=5.0797 b=5.0797 c=5.0797 alpha=90.00 beta=90.00 gamma=90.00
Atoms (fractional coordinates):
Cs  0.0000  0.0000  0.0000
P  0.5000  0.0000  0.0000
P  0.0000  0.0000  0.5000
Os  0.5000  0.5000  0.5000
P  0.0000  0.5000  0.0000

## Properties
Total energy   -2.8387 eV/atom

=====

No. 4
Density functional theory data (PBEsol) for a relaxed CsOs2Pb crystal.

Unit cell a=4.8404 b=4.8404 c=4.8404 alpha=60.00 beta=60.00 gamma=60.00
Atoms (fractional coordinates):
Os  0.2500  0.2500  0.2500
Pb  0.5000  0.5000  0.5000
Cs  0.0000  0.0000  0.0000
Os  0.7500  0.7500  0.7500

## Properties
Total energy   -5.2662 eV/atom

=====

No. 5
Density functional theory data (PBEsol) for a relaxed CsOs3Pd crystal.

Unit cell a=4.8156 b=4.8156 c=4.8156 alpha=90.00 beta=90.00 gamma=90.00
Atoms (fractional coordinates):
Os  0.0000  0.5000  0.0000
Os  0.5000  0.0000  0.0000
Os  0.0000  0.0000  0.5000
Pd  0.5000  0.5000  0.5000
Cs  0.0000  0.0000  0.0000

## Properties
Total energy   -4.5954 eV/atom

=====

No. 6
Density functional theory data (PBEsol) for a relaxed CsOsPd3 crystal.

Unit cell a=4.9000 b=4.9000 c=4.9000 alpha=90.00 beta=90.00 gamma=90.00
Atoms (fractional coordinates):
Pd  0.5000  0.0000  0.0000
Pd  0.0000  0.5000  0.0000
Cs  0.5000  0.5000  0.5000
Os  0.0000  0.0000  0.0000
Pd  0.0000  0.0000  0.5000

## Properties
Total energy   -5.2054 eV/atom

=====

No. 7
Density functional theory data (PBEsol) for a relaxed CsOsRuPt2 crystal.

Unit cell a=4.7334 b=4.9114 c=4.9114 alpha=90.00 beta=90.00 gamma=90.00
Atoms (fractional coordinates):
Ru  0.5000  0.0000  0.0000
Os  0.5000  0.5000  0.5000
Pt  0.0000  0.5000  0.0000
Pt  0.0000  0.0000  0.5000
Cs  0.0000  0.0000  0.0000

## Properties
Total energy   -4.0446 eV/atom

=====

No. 8
Density functional theory data (PBEsol) for a relaxed Cs2RbOs crystal.

Unit cell a=5.8063 b=5.8063 c=5.8063 alpha=60.00 beta=60.00 gamma=60.00
Atoms (fractional coordinates):
Os  0.5000  0.5000  0.5000
Cs  0.7500  0.7500  0.7500
Rb  0.0000  0.0000  0.0000
Cs  0.2500  0.2500  0.2500

## Properties
Total energy   -2.3860 eV/atom

=====

Going through the records in order, we get DOS(E_F) values of 11.39 5.84 7.24 6.13 5.76 6.03 5.94 5.84 states/eV per cell.